# 1
{
  "formula": "Zr3TePt",
  "functional": "PBE",
  "state": "relaxed",
  "cell": [[5.136, 0.000, 0.000], [0.000, 5.136, 0.000], [0.000, 0.000, 5.136]],
  "species": ["Zr", "Zr", "Zr", "Te", "Pt"],
  "frac_coords": [[0.000, 0.000, 0.500], [0.000, 0.500, 0.000], [0.500, 0.000, 0.000], [0.500, 0.500, 0.500], [0.000, 0.000, 0.000]],
  "space_group": "Pm-3m (221)",
  "e_form_raw_ev_per_fu": -0.17,
  "magnetic_moment_mub_per_cell": 0.00,
  "crystal_system": "cubic"
}

=====

# 2
{
  "formula": "KZrTa2",
  "functional": "PBE",
  "state": "relaxed",
  "cell": [[2.985, 0.000, 0.000], [0.000, 4.442, 0.000], [-1.140, 0.000, 8.336]],
  "species": ["K", "Zr", "Ta", "Ta"],
  "frac_coords": [[0.000, 0.000, 0.000], [0.393, 0.500, 0.642], [0.023, 0.000, 0.446], [0.548, 0.500, 0.328]],
  "space_group": "Pm (6)",
  "magnetic_moment_mub_per_cell": 0.00,
  "crystal_system": "monoclinic",
  "ef_mev_per_atom": 737
}

=====

# 3
{
  "formula": "K2BeCuSn",
  "functional": "PBE",
  "state": "relaxed",
  "cell": [[6.244, 0.000, 0.000], [0.000, 6.244, 0.000], [0.000, 0.000, 4.225]],
  "species": ["K", "K", "Be", "Cu", "Sn"],
  "frac_coords": [[0.000, 0.500, 0.000], [0.500, 0.000, 0.000], [0.000, 0.000, 0.500], [0.000, 0.000, 0.000], [0.500, 0.500, 0.500]],
  "space_group": "P4/mmm (123)",
  "magnetic_moment_mub_per_cell": 0.48,
  "crystal_system": "tetragonal",
  "ef_mev_per_atom": 553
}